Material: MgTlCdPb
Method: DFT, PBE-GGA
State: optimized geometry

Energy of formation (eV per atom): 0.023
Crystal system: cubic
Total DFT energy (no corrections) (eV/cell): -8.5
ΔE to the lowest computed polymorph (kJ/mol of atoms): 4.14

abc: 5.3290 5.3290 5.3290
angles: 60.00 60.00 60.00
With the nearest neighbours (Å) after each atom.
Fractional coordinates of all 4 atoms:
Cd 0.5000 0.5000 0.5000  4 Tl 3.26, 4 Pb 3.26
Pb 0.2500 0.2500 0.2500  4 Cd 3.26, 4 Mg 3.26
Mg 0.0000 0.0000 0.0000  4 Pb 3.26, 4 Tl 3.26
Tl 0.7500 0.7500 0.7500  4 Cd 3.26, 4 Mg 3.26

---

Material: Be4Cu3Ni
Method: DFT, PBE-GGA
State: optimized geometry

Energy of formation (eV per atom): -0.185
Crystal system: tetragonal
Total DFT energy (no corrections) (eV/cell): -34.5

abc: 2.6973 2.6973 10.5203
angles: 90.00 90.00 90.00
With the nearest neighbours (Å) after each atom.
Fractional coordinates of all 8 atoms:
Ni 0.5000 0.5000 0.0000  8 Be 2.27
Be 0.0000 0.0000 0.6227  8 Cu 2.30-2.35
Be 0.0000 0.0000 0.3773  8 Cu 2.30-2.35
Cu 0.5000 0.5000 0.7537  8 Be 2.34-2.35, 1 Ni 2.59
Be 0.0000 0.0000 0.8827  4 Ni 2.27, 4 Cu 2.34, 1 Be 2.47
Cu 0.5000 0.5000 0.5000  8 Be 2.30
Cu 0.5000 0.5000 0.2463  8 Be 2.34-2.35, 1 Ni 2.59
Be 0.0000 0.0000 0.1173  4 Ni 2.27, 4 Cu 2.34, 1 Be 2.47

---

Material: WAuI2
Method: DFT, PBE-GGA
State: optimized geometry

Crystal system: tetragonal
Total DFT energy (no corrections) (eV/cell): -33.1
ΔE to the lowest computed polymorph (kJ/mol of atoms): 0.00

abc: 9.6847 9.6847 7.3433
angles: 48.74 48.74 90.00
With the nearest neighbours (Å) after each atom.
Fractional coordinates of all 8 atoms:
I 0.4815 0.1250 0.2500  2 W 2.71
W 0.2500 0.7500 0.5000  2 Au 2.65, 4 I 2.71
I 0.2685 0.6250 0.2500  2 W 2.71
I 0.3750 0.5185 0.7500  2 W 2.71
I 0.8750 0.7315 0.7500  2 W 2.71
Au 0.0000 0.0000 0.0000  2 W 2.65
W 0.5000 0.5000 0.0000  2 Au 2.65, 4 I 2.71
Au 0.7500 0.2500 0.5000  2 W 2.65

---

Material: GdTaP2
Method: DFT, PBE-GGA
State: optimized geometry

Energy of formation (eV per atom): -1.086
Crystal system: trigonal
Total DFT energy (no corrections) (eV/cell): -41.1

abc: 3.7609 3.7609 6.6033
angles: 73.45 73.45 60.00
With the nearest neighbours (Å) after each atom.
Fractional coordinates of all 4 atoms:
Gd 0.5000 0.5000 0.5000  6 P 2.78
Ta 0.0000 0.0000 0.0000  6 P 2.57
P 0.2598 0.2598 0.2205  3 Ta 2.57, 3 Gd 2.78
P 0.7402 0.7402 0.7795  3 Ta 2.57, 3 Gd 2.78

---

Material: MgTlP2
Method: DFT, PBE-GGA
State: optimized geometry

Energy of formation (eV per atom): -0.028
Crystal system: monoclinic
Total DFT energy (no corrections) (eV/cell): -14.9
ΔE to the lowest computed polymorph (kJ/mol of atoms): 7.66

abc: 4.9618 4.9618 6.1353
angles: 85.05 85.05 38.56
With the nearest neighbours (Å) after each atom.
Fractional coordinates of all 4 atoms:
P 0.4848 0.4848 0.6230  2 P 2.30
Tl 0.2500 0.2500 0.2500  2 Tl 3.28, 6 P 3.32-3.61, 4 Mg 3.48
Mg 0.7500 0.7500 0.7500  6 P 2.67-2.80
P 0.0152 0.0152 0.8770  2 P 2.30

---

Material: Ca3P3Rh2
Method: DFT, PBE-GGA
State: optimized geometry

Energy of formation (eV per atom): -0.985
Crystal system: orthorhombic
Total DFT energy (no corrections) (eV/cell): -89.6
ΔE to the lowest computed polymorph (kJ/mol of atoms): 0.00

abc: 4.1301 5.7594 13.8034
angles: 90.00 90.00 111.01
With the nearest neighbours (Å) after each atom.
Fractional coordinates of all 16 atoms:
Rh 0.2214 0.4429 0.4287  3 P 2.37
P 0.6182 0.2364 0.0461  3 Rh 2.37
Ca 0.6543 0.3086 0.2500  4 P 2.84-2.88
P 0.3818 0.7636 0.5461  3 Rh 2.37
Rh 0.7786 0.5571 0.9287  3 P 2.37
Ca 0.3457 0.6914 0.7500  4 P 2.84-2.88
P 0.3406 0.6812 0.2500  2 Rh 2.78, 6 Ca 2.88-2.94
Ca 0.9270 0.8541 0.1145  6 P 2.94-3.07, 4 Rh 3.02-3.22
Rh 0.7786 0.5571 0.5713  3 P 2.37
Ca 0.0730 0.1459 0.6145  6 P 2.94-3.07, 4 Rh 3.02-3.22
P 0.3818 0.7636 0.9539  3 Rh 2.37
Ca 0.0730 0.1459 0.8855  6 P 2.94-3.07, 4 Rh 3.02-3.22
P 0.6182 0.2364 0.4539  3 Rh 2.37
P 0.6594 0.3188 0.7500  2 Rh 2.78, 6 Ca 2.88-2.94
Rh 0.2214 0.4429 0.0713  3 P 2.37
Ca 0.9270 0.8541 0.3855  6 P 2.94-3.07, 4 Rh 3.02-3.22

---

Material: Ta2AgPt
Method: DFT, PBE-GGA
State: optimized geometry

Energy of formation (eV per atom): -0.157
Crystal system: orthorhombic
Total DFT energy (no corrections) (eV/cell): -33.2

abc: 2.8797 2.8797 8.4008
angles: 90.00 90.00 90.16
With the nearest neighbours (Å) after each atom.
Fractional coordinates of all 4 atoms:
Ag 0.0000 0.0000 0.5074  4 Ag 2.88, 4 Pt 2.94, 4 Ta 2.98-2.99
Ta 0.5000 0.5000 0.2478  8 Ta 2.88-3.01, 4 Ag 2.98-2.99
Pt 0.5000 0.5000 0.7598  4 Ta 2.78, 4 Pt 2.88, 4 Ag 2.94
Ta 0.0000 0.0000 0.9850  4 Pt 2.78, 8 Ta 2.88-3.01

---

Material: Pr3Hg5
Method: DFT, PBE-GGA
State: optimized geometry

Energy of formation (eV per atom): -0.444
Crystal system: orthorhombic
Total DFT energy (no corrections) (eV/cell): -19.4

abc: 5.2917 6.6338 6.6338
angles: 107.22 90.00 90.00
With the nearest neighbours (Å) after each atom.
Fractional coordinates of all 8 atoms:
Pr 0.5000 0.7926 0.2074  8 Hg 3.17-3.45
Hg 0.0000 0.0000 0.5000  6 Pr 3.32-3.33, 2 Hg 3.32
Hg 0.5000 0.7128 0.7128  4 Pr 3.13-3.17, 3 Hg 3.35-3.48
Pr 0.0000 0.5000 0.5000  8 Hg 3.13-3.32
Pr 0.5000 0.2074 0.7926  8 Hg 3.17-3.45
Hg 0.0000 0.0000 0.0000  8 Hg 3.32-3.48, 4 Pr 3.45
Hg 0.0000 0.5000 0.0000  2 Hg 3.32, 6 Pr 3.32-3.33
Hg 0.5000 0.2872 0.2872  4 Pr 3.13-3.17, 3 Hg 3.35-3.48

---

Material: LiScFe2
Method: DFT, PBE-GGA
State: optimized geometry

Energy of formation (eV per atom): 0.181
Crystal system: tetragonal
Total DFT energy (no corrections) (eV/cell): -24.4

abc: 3.7237 3.7237 4.0526
angles: 90.00 90.00 90.00
With the nearest neighbours (Å) after each atom.
Fractional coordinates of all 4 atoms:
Fe 0.5000 0.5000 0.0000  4 Fe 2.63, 4 Li 2.75, 4 Sc 2.75
Sc 0.0000 0.5000 0.5000  4 Li 2.63, 8 Fe 2.75
Li 0.5000 0.0000 0.5000  4 Sc 2.63, 8 Fe 2.75
Fe 0.0000 0.0000 0.0000  4 Fe 2.63, 4 Li 2.75, 4 Sc 2.75

---

Material: NaS2IN
Method: DFT, PBE-GGA
State: optimized geometry

Crystal system: tetragonal
Total DFT energy (no corrections) (eV/cell): -11.2
ΔE to the lowest computed polymorph (kJ/mol of atoms): 77.37

abc: 5.1158 5.1158 4.1677
angles: 90.00 90.00 90.00
With the nearest neighbours (Å) after each atom.
Fractional coordinates of all 5 atoms:
I 0.5000 0.5000 0.5000  8 S 3.30, 4 N 3.62
Na 0.0000 0.0000 0.0000  2 N 2.08
S 0.5000 0.0000 0.0000  2 Na 2.56
N 0.0000 0.0000 0.5000  2 Na 2.08
S 0.0000 0.5000 0.0000  2 Na 2.56

---

Material: InSiRu2
Method: DFT, PBE-GGA
State: optimized geometry

Crystal system: tetragonal
Total DFT energy (no corrections) (eV/cell): -52.2

abc: 6.9464 6.9464 5.6415
angles: 52.00 52.00 90.00
With the nearest neighbours (Å) after each atom.
Fractional coordinates of all 8 atoms:
Ru 0.8750 0.8124 0.7500  2 Si 2.28
In 0.7500 0.2500 0.5000  2 Si 2.77, 8 Ru 2.87-3.01
Ru 0.5624 0.1250 0.2500  2 Si 2.28
Ru 0.3750 0.4376 0.7500  2 Si 2.28
In 0.0000 0.0000 0.0000  2 Si 2.77, 8 Ru 2.87-3.01
Ru 0.1876 0.6250 0.2500  2 Si 2.28
Si 0.5000 0.5000 0.0000  4 Ru 2.28
Si 0.2500 0.7500 0.5000  4 Ru 2.28

---

Material: Zr2MnPb
Method: DFT, PBE-GGA
State: optimized geometry

Energy of formation (eV per atom): 0.023
Crystal system: orthorhombic
Total DFT energy (no corrections) (eV/cell): -29.9

abc: 4.1991 3.7614 5.7537
angles: 70.91 90.00 90.00
With the nearest neighbours (Å) after each atom.
Fractional coordinates of all 4 atoms:
Pb 0.5000 0.5489 0.7771  2 Mn 2.79, 7 Zr 2.97-3.06
Zr 0.0000 0.9622 0.9506  1 Mn 2.66, 4 Pb 2.97
Zr 0.5000 0.2710 0.3330  4 Mn 2.88, 3 Pb 3.02-3.06
Mn 0.0000 0.7179 0.4393  5 Zr 2.66-2.88, 2 Pb 2.79

---

Material: YTmAu
Method: DFT, PBE-GGA
State: optimized geometry

Energy of formation (eV per atom): -0.642
Crystal system: monoclinic
Total DFT energy (no corrections) (eV/cell): -96.8
ΔE to the lowest computed polymorph (kJ/mol of atoms): 2.53

abc: 4.8875 7.2943 13.2560
angles: 88.06 90.00 90.00
With the nearest neighbours (Å) after each atom.
Fractional coordinates of all 18 atoms:
Au 0.2500 0.7743 0.9031  5 Tm 2.83-3.11, 2 Y 2.90-2.92
Tm 0.7500 0.0362 0.9137  4 Au 2.81-3.11
Y 0.2500 0.3767 0.9161  1 Au 2.90
Tm 0.7500 0.1401 0.5449  4 Au 2.87-2.97
Tm 0.7500 0.6572 0.7839  4 Au 2.83-3.05
Au 0.7500 0.2788 0.7445  3 Tm 2.81-2.87
Au 0.7500 0.7448 0.5671  4 Tm 2.89-2.97, 3 Y 3.05-3.19
Tm 0.2500 0.9638 0.0863  4 Au 2.81-3.11
Y 0.7500 0.5210 0.3768  5 Au 3.05-3.24
Tm 0.2500 0.3428 0.2161  4 Au 2.83-3.05
Au 0.7500 0.2257 0.0969  5 Tm 2.83-3.11, 2 Y 2.90-2.92
Tm 0.2500 0.8599 0.4551  4 Au 2.87-2.97
Y 0.2500 0.4790 0.6232  5 Au 3.05-3.24
Au 0.2500 0.7212 0.2555  3 Tm 2.81-2.87
Y 0.2500 0.0005 0.7167  3 Au 2.92-3.21
Y 0.7500 0.9995 0.2833  3 Au 2.92-3.21
Y 0.7500 0.6233 0.0839  1 Au 2.90
Au 0.2500 0.2552 0.4329  4 Tm 2.89-2.97, 3 Y 3.05-3.19

---

Material: Ac12Si2Sn5
Method: DFT, PBE-GGA
State: optimized geometry

Crystal system: monoclinic
Total DFT energy (no corrections) (eV/cell): -87.4

abc: 8.5283 10.1792 10.6274
angles: 103.66 90.00 114.77
With the nearest neighbours (Å) after each atom.
Fractional coordinates of all 19 atoms:
Sn 0.0000 0.0000 0.5000  6 Ac 3.31-3.37
Ac 0.5651 0.6583 0.9031  1 Si 3.06, 1 Sn 3.39
Si 0.2562 0.0000 0.0000  6 Ac 3.06-3.13
Ac 0.4349 0.3417 0.0969  1 Si 3.06, 1 Sn 3.39
Ac 0.5975 0.7152 0.4373  4 Sn 3.37-3.48
Ac 0.9645 0.9290 0.1778  2 Si 3.07, 1 Sn 3.31
Ac 0.4025 0.2848 0.5627  4 Sn 3.37-3.48
Sn 0.7075 0.4150 0.3627  7 Ac 3.39-3.63
Ac 0.8823 0.2848 0.5627  4 Sn 3.37-3.48
Ac 0.4938 0.9877 0.7778  2 Si 3.13, 1 Sn 3.37
Ac 0.9069 0.3417 0.0969  1 Si 3.06, 1 Sn 3.39
Sn 0.6817 0.3634 0.8317  7 Ac 3.37-3.51
Ac 0.1177 0.7152 0.4373  4 Sn 3.37-3.48
Ac 0.5062 0.0123 0.2222  2 Si 3.13, 1 Sn 3.37
Si 0.7438 0.0000 0.0000  6 Ac 3.06-3.13
Sn 0.3183 0.6366 0.1683  7 Ac 3.37-3.51
Sn 0.2925 0.5850 0.6373  7 Ac 3.39-3.63
Ac 0.0355 0.0710 0.8222  2 Si 3.07, 1 Sn 3.31
Ac 0.0931 0.6583 0.9031  1 Si 3.06, 1 Sn 3.39

---

Material: Er2GeBRh6
Method: DFT, PBE-GGA
State: optimized geometry

Energy of formation (eV per atom): -0.639
Crystal system: cubic
Total DFT energy (no corrections) (eV/cell): -70.9

abc: 6.1769 6.1780 6.1769
angles: 60.02 60.02 90.02
With the nearest neighbours (Å) after each atom.
Fractional coordinates of all 10 atoms:
Ge 0.0000 0.0000 0.0000  6 Rh 2.32
Er 0.2499 0.7499 0.5001  12 Rh 3.09
Rh 0.2658 0.2659 0.4682  1 B 2.05
Rh 0.2659 0.7341 0.0000  1 B 2.05
Er 0.7501 0.2501 0.4998  12 Rh 3.09
Rh 0.7342 0.7341 0.5318  1 B 2.05
B 0.5000 0.5000 0.0000  6 Rh 2.04-2.05
Rh 0.7342 0.7340 0.0000  1 B 2.04
Rh 0.2658 0.2660 0.0000  1 B 2.04
Rh 0.7341 0.2659 0.0000  1 B 2.05

---

Material: YAg2
Method: DFT, PBE-GGA
State: optimized geometry

Energy of formation (eV per atom): 0.093
Crystal system: tetragonal
Total DFT energy (no corrections) (eV/cell): -11.9

abc: 3.9512 3.9512 4.8548
angles: 90.00 90.00 90.00
With the nearest neighbours (Å) after each atom.
Fractional coordinates of all 3 atoms:
Ag 0.0000 0.5000 0.5000  4 Ag 2.79
Y 0.0000 0.0000 0.0000  8 Ag 3.13
Ag 0.5000 0.0000 0.5000  4 Ag 2.79

---

Material: Hf2Mn2In
Method: DFT, PBE-GGA
State: optimized geometry

Energy of formation (eV per atom): -0.045
Crystal system: tetragonal
Total DFT energy (no corrections) (eV/cell): -82.4

abc: 6.9124 6.9124 3.6390
angles: 90.00 90.00 90.00
With the nearest neighbours (Å) after each atom.
Fractional coordinates of all 10 atoms:
Mn 0.3949 0.8949 0.0000  1 Mn 2.06
Mn 0.1051 0.3949 0.0000  1 Mn 2.06
Mn 0.8949 0.6051 0.0000  1 Mn 2.06
In 0.5000 0.5000 0.0000  4 Mn 2.82, 8 Hf 3.11
Hf 0.3156 0.1844 0.5000  6 Mn 2.75-2.76
Hf 0.1844 0.6844 0.5000  6 Mn 2.75-2.76
In 0.0000 0.0000 0.0000  4 Mn 2.82, 8 Hf 3.11
Hf 0.8156 0.3156 0.5000  6 Mn 2.75-2.76
Mn 0.6051 0.1051 0.0000  1 Mn 2.06
Hf 0.6844 0.8156 0.5000  6 Mn 2.75-2.76

---

Material: MnCd2Pt
Method: DFT, PBE-GGA
State: optimized geometry

Energy of formation (eV per atom): 0.230
Crystal system: tetragonal
Total DFT energy (no corrections) (eV/cell): -32.2

abc: 7.6096 7.6096 6.0437
angles: 50.98 50.98 90.00
With the nearest neighbours (Å) after each atom.
Fractional coordinates of all 8 atoms:
Cd 0.3750 0.3656 0.7500  2 Pt 2.73, 2 Cd 2.76, 2 Mn 2.83
Cd 0.6344 0.1250 0.2500  2 Pt 2.73, 2 Cd 2.76, 2 Mn 2.83
Pt 0.7500 0.2500 0.5000  4 Cd 2.73, 2 Mn 2.75
Cd 0.8750 0.8844 0.7500  2 Pt 2.73, 2 Cd 2.76, 2 Mn 2.83
Mn 0.5000 0.5000 0.0000  2 Pt 2.75, 4 Cd 2.83
Cd 0.1156 0.6250 0.2500  2 Pt 2.73, 2 Cd 2.76, 2 Mn 2.83
Pt 0.0000 0.0000 0.0000  4 Cd 2.73, 2 Mn 2.75
Mn 0.2500 0.7500 0.5000  2 Pt 2.75, 4 Cd 2.83

---

Material: Ac2Dy12Hg7
Method: DFT, PBE-GGA
State: optimized geometry

Energy of formation (eV per atom): -0.263
Crystal system: hexagonal
Total DFT energy (no corrections) (eV/cell): -71.1

abc: 3.7211 13.9033 13.9033
angles: 120.00 90.00 90.00
With the nearest neighbours (Å) after each atom.
Fractional coordinates of all 21 atoms:
Dy 0.0000 0.9654 0.2309  4 Hg 3.13-3.34
Hg 0.0000 0.7718 0.9624  6 Dy 3.10-3.34
Dy 0.5000 0.3930 0.2973  4 Hg 3.10-3.36
Dy 0.5000 0.7027 0.0956  4 Hg 3.10-3.36
Dy 0.5000 0.9044 0.6070  4 Hg 3.10-3.36
Hg 0.5000 0.4728 0.1180  6 Dy 3.13-3.36, 2 Ac 3.41
Dy 0.0000 0.4705 0.5417  3 Hg 3.15-3.16, 4 Dy 3.51-3.52
Ac 0.0000 0.6667 0.3333  6 Hg 3.41, 2 Ac 3.72
Hg 0.0000 0.1905 0.2282  6 Dy 3.10-3.34
Dy 0.5000 0.2239 0.4364  4 Hg 3.27-3.34, 4 Dy 3.51-3.52
Hg 0.0000 0.0377 0.8095  6 Dy 3.10-3.34
Ac 0.5000 0.0000 0.0000  6 Hg 3.48, 2 Ac 3.72
Dy 0.0000 0.7691 0.7345  4 Hg 3.13-3.34
Dy 0.5000 0.2125 0.7761  4 Hg 3.27-3.34, 4 Dy 3.51-3.52
Hg 0.5000 0.8820 0.3548  6 Dy 3.13-3.36, 2 Ac 3.41
Dy 0.5000 0.5636 0.7875  4 Hg 3.27-3.34, 4 Dy 3.51-3.52
Dy 0.0000 0.4583 0.9288  3 Hg 3.15-3.16, 4 Dy 3.51-3.52
Dy 0.0000 0.0712 0.5295  3 Hg 3.15-3.16, 4 Dy 3.51-3.52
Dy 0.0000 0.2655 0.0346  4 Hg 3.13-3.34
Hg 0.5000 0.6452 0.5272  6 Dy 3.13-3.36, 2 Ac 3.41
Hg 0.0000 0.3333 0.6667  9 Dy 3.16-3.34

---

Material: Na2Li4I2N
Method: DFT, PBE-GGA
State: optimized geometry

Crystal system: tetragonal
Total DFT energy (no corrections) (eV/cell): -26.5

abc: 6.6691 6.6691 6.6691
angles: 91.31 119.25 119.25
With the nearest neighbours (Å) after each atom.
Fractional coordinates of all 9 atoms:
Li 0.5986 0.7993 0.7993  1 N 1.91
I 0.5000 0.2500 0.7500  8 Li 3.37, 4 Na 3.37
Li 0.0000 0.7993 0.2007  1 N 1.91
Na 0.0000 0.2545 0.2545  1 N 2.37
I 0.5000 0.7500 0.2500  8 Li 3.37, 4 Na 3.37
N 0.0000 0.0000 0.0000  4 Li 1.91
Li 0.4014 0.2007 0.2007  1 N 1.91
Li 0.0000 0.2007 0.7993  1 N 1.91
Na 0.0000 0.7455 0.7455  1 N 2.37